(1)
NaNd2MnO5 PBE+U optimized geometry; space group = No. 127; E_tot = -7.275 eV per atom; calculated density = 5.6 Mg/m³
1.0
5.8003 0.0000 0.0000
0.0000 6.7408 0.0000
0.0000 0.0000 6.7408
Nd O Na Mn
4 10 2 2
Direct
0.5000 0.6781 0.1781
0.5000 0.8219 0.6781
0.5000 0.3219 0.8219
0.5000 0.1781 0.3219
0.2397 0.3649 0.1351
0.7603 0.1351 0.6351
0.5000 0.5000 0.5000
0.7603 0.3649 0.1351
0.7603 0.6351 0.8649
0.5000 0.0000 0.0000
0.2397 0.6351 0.8649
0.7603 0.8649 0.3649
0.2397 0.1351 0.6351
0.2397 0.8649 0.3649
0.0000 0.5000 0.5000
0.0000 0.0000 0.0000
0.0000 0.0000 0.5000
0.0000 0.5000 0.0000


(2)
NaNd2MnO6 PBE+U optimized geometry; space group = No. 14; E_tot = -7.126 eV per atom; calculated density = 6.0 Mg/m³
1.0
-2.1951 -2.3687 -4.4630
-4.2932 -2.3523 3.3601
-4.5036 6.2998 -1.3439
Nd O Mn Na
4 12 2 2
Direct
0.4789 0.4263 0.2457
0.0211 0.9263 0.2543
0.9789 0.0737 0.7457
0.5211 0.5737 0.7543
0.2122 0.1707 0.4511
0.8850 0.5470 0.2286
0.7878 0.8293 0.5489
0.3850 0.9530 0.7286
0.6631 0.2769 0.5661
0.1631 0.2231 0.0661
0.2878 0.6707 0.0489
0.8369 0.7769 0.9339
0.3369 0.7231 0.4339
0.1150 0.4530 0.7714
0.6150 0.0470 0.2714
0.7122 0.3293 0.9511
0.5000 0.0000 0.5000
0.0000 0.5000 0.0000
0.0000 0.5000 0.5000
0.5000 0.0000 0.0000


(3)
Na3Nd2MnO6 PBE+U optimized geometry; space group = No. 12; E_tot = -6.455 eV per atom; calculated density = 4.8 Mg/m³
1.0
-4.5132 -1.6885 3.4738
5.5544 -0.3928 2.0691
-0.7304 5.9379 0.2425
O Mn Na Nd
6 1 3 2
Direct
0.3511 0.0636 0.1966
0.2692 0.2692 0.7664
0.9364 0.6489 0.8034
0.0636 0.3511 0.1966
0.7308 0.7308 0.2336
0.6489 0.9364 0.8034
0.0000 0.0000 0.0000
0.1404 0.8596 0.5000
0.8596 0.1404 0.5000
0.5000 0.5000 0.5000
0.6647 0.3353 0.0000
0.3353 0.6647 0.0000


(4)
NaSrNdMnO6 PBE+U optimized geometry; space group = No. 216; E_tot = -6.375 eV per atom; calculated density = 4.6 Mg/m³
1.0
0.0000 4.1919 4.1919
4.1919 0.0000 4.1919
4.1919 4.1919 0.0000
Nd O Mn Na Sr
1 6 1 1 1
Direct
0.5000 0.5000 0.5000
0.2257 0.2257 0.7743
0.7743 0.7743 0.2257
0.2257 0.7743 0.2257
0.2257 0.7743 0.7743
0.7743 0.2257 0.7743
0.7743 0.2257 0.2257
0.0000 0.0000 0.0000
0.7500 0.7500 0.7500
0.2500 0.2500 0.2500